1.
Here is MoPt after structural relaxation from Alexandria via LeMat-Bulk. Energies are from GGA-PBE.

Summary:
D(E_F) (states/eV/atom): 0.7954
Energy relative to the elements (eV/atom): 0.20
Uncorrected energy (eV per formula unit): -16.46

Cell lengths 4.0394, 11.0819, 4.9109 Å; angles 90.00, 90.00, 90.00 degrees
With the nearest neighbours (Å) after each atom.
Space group Pmmn (No. 59, origin choice 2)
Symmetry-distinct sites (fractional):
Mo 0.2500 0.1207 0.1469 [4 per cell]  4 Pt 2.59-2.63, 3 Mo 2.67-2.87
Mo 0.2500 0.7500 0.6477 [2 per cell]  4 Pt 2.64-2.87, 4 Mo 2.67
Pt 0.2500 0.0085 0.6838 [4 per cell]  4 Mo 2.59-2.87, 3 Pt 2.68-2.72
Pt 0.2500 0.2500 0.6975 [2 per cell]  4 Mo 2.63-2.64, 2 Pt 2.68

2.
Here is MoPt after structural relaxation from Alexandria via LeMat-Bulk. Energies are from GGA-PBE.

Summary:
D(E_F) (states/eV/atom): 1.3161
Energy relative to the elements (eV/atom): 1.12
Uncorrected energy (eV per formula unit): -14.64

Cell lengths 8.1896, 9.5538, 11.8011 Å; angles 90.00, 90.00, 90.00 degrees
With the nearest neighbours (Å) after each atom.
Space group Fddd (No. 70, origin choice 2)
Symmetry-distinct sites (fractional):
Mo 0.1250 0.1250 0.2643 [16 per cell]  4 Pt 2.48-2.49
Pt 0.1250 0.3197 0.1250 [16 per cell]  4 Mo 2.48-2.49

3.
Here is MoPt5 after structural relaxation from Alexandria via LeMat-Bulk. Energies are from GGA-PBE.

Summary:
D(E_F) (states/eV/atom): 0.8938
Energy relative to the elements (eV/atom): -0.13
Excess energy over the best structure of this formula in the dataset (meV per atom): 84
Uncorrected energy (eV per formula unit): -41.81

Cell lengths 10.4230, 2.7697, 7.4377 Å; angles 90.00, 117.19, 90.00 degrees
With the nearest neighbours (Å) after each atom.
Space group Cm (No. 8)
Symmetry-distinct sites (fractional):
Mo 0.0000 0.0000 0.0000 [2 per cell]  10 Pt 2.75-2.87, 2 Mo 2.77
Pt 0.0012 0.0000 0.6286 [2 per cell]  10 Pt 2.75-2.83, 1 Mo 2.77
Pt 0.2098 0.5000 0.9471 [2 per cell]  9 Pt 2.75-2.82, 3 Mo 2.76-2.87
Pt 0.2118 0.5000 0.3213 [2 per cell]  9 Pt 2.73-2.89, 2 Mo 2.77
Pt 0.2844 0.0000 0.6835 [2 per cell]  9 Pt 2.77-2.83, 2 Mo 2.77
Pt 0.4347 0.0000 0.2668 [2 per cell]  9 Pt 2.73-2.89, 2 Mo 2.75

4.
Here is MoPt5 after structural relaxation from Alexandria via LeMat-Bulk. Energies are from GGA-PBE.

Summary:
D(E_F) (states/eV/atom): 1.3248
Energy relative to the elements (eV/atom): -0.19
Excess energy over the best structure of this formula in the dataset (meV per atom): 25
Uncorrected energy (eV per formula unit): -42.16

Cell lengths 4.8428, 4.8428, 4.6113 Å; angles 90.00, 90.00, 120.00 degrees
With the nearest neighbours (Å) after each atom.
Space group P-62m (No. 189)
Symmetry-distinct sites (fractional):
Mo 0.0000 0.0000 0.0000 [1 per cell]  12 Pt 2.80
Pt 0.0000 0.6714 0.5000 [3 per cell]  10 Pt 2.76-2.82, 2 Mo 2.80
Pt 0.3333 0.6667 0.0000 [2 per cell]  3 Mo 2.80, 9 Pt 2.80-2.82

5.
Here is Mo3Pt2 after structural relaxation from Alexandria via LeMat-Bulk. Energies are from GGA-PBE.

Summary:
D(E_F) (states/eV/atom): 0.8911
Energy relative to the elements (eV/atom): -0.13
Excess energy over the best structure of this formula in the dataset (meV per atom): 0
Uncorrected energy (eV per formula unit): -45.24

Cell lengths 9.6174, 13.6378, 4.8337 Å; angles 90.00, 90.00, 90.00 degrees
With the nearest neighbours (Å) after each atom.
Space group Fdd2 (No. 43)
Symmetry-distinct sites (fractional):
Mo 0.0000 0.0000 0.0000 [8 per cell]  2 Mo 2.60, 4 Pt 2.69-2.82
Mo 0.0454 0.1025 0.4442 [16 per cell]  3 Mo 2.60-2.76, 6 Pt 2.70-2.86
Pt 0.0331 0.2034 0.9251 [16 per cell]  9 Mo 2.69-2.92, 2 Pt 2.80

6.
Here is MoPt after structural relaxation from Alexandria via LeMat-Bulk. Energies are from GGA-PBE.

Summary:
D(E_F) (states/eV/atom): 0.9539
Energy relative to the elements (eV/atom): 0.09
Uncorrected energy (eV per formula unit): -16.68

Cell lengths 7.8326, 7.8326, 4.4802 Å; angles 90.00, 90.00, 90.00 degrees
With the nearest neighbours (Å) after each atom.
Space group P4/m (No. 83)
Symmetry-distinct sites (fractional):
Mo 0.0509 0.3435 0.0000 [4 per cell]  3 Mo 2.58-2.76, 5 Pt 2.63-2.81
Mo 0.2292 0.4451 0.5000 [4 per cell]  6 Pt 2.65-2.84, 2 Mo 2.76
Pt 0.1000 0.7704 0.5000 [4 per cell]  4 Mo 2.69-2.74, 4 Pt 2.77-2.91
Pt 0.2825 0.6182 0.0000 [4 per cell]  7 Mo 2.63-2.84, 4 Pt 2.74-2.91

7.
Here is MoPt after structural relaxation from Alexandria via LeMat-Bulk. Energies are from GGA-PBE.

Summary:
D(E_F) (states/eV/atom): 0.7435
Energy relative to the elements (eV/atom): -0.28
Uncorrected energy (eV per formula unit): -17.43

Cell lengths 4.4982, 8.5074, 4.8646 Å; angles 90.00, 90.00, 90.00 degrees
With the nearest neighbours (Å) after each atom.
Space group Amm2 (No. 38)
Symmetry-distinct sites (fractional):
Mo 0.0000 0.0000 0.0000 [2 per cell]  4 Mo 2.76, 8 Pt 2.77-2.88
Mo 0.5000 0.1669 0.8504 [4 per cell]  5 Mo 2.76-2.84, 7 Pt 2.76-2.84
Pt 0.0000 0.1685 0.5128 [4 per cell]  7 Mo 2.76-2.88, 5 Pt 2.77-2.87
Pt 0.5000 0.0000 0.3556 [2 per cell]  4 Pt 2.77, 8 Mo 2.79-2.84

8.
Here is MoPt5 after structural relaxation from Alexandria via LeMat-Bulk. Energies are from GGA-PBE.

Summary:
D(E_F) (states/eV/atom): 0.9375
Energy relative to the elements (eV/atom): 0.33
Excess energy over the best structure of this formula in the dataset (meV per atom): 546
Uncorrected energy (eV per formula unit): -39.04

Cell lengths 5.1758, 5.1758, 4.5662 Å; angles 90.00, 90.00, 120.00 degrees
With the nearest neighbours (Å) after each atom.
Space group P6/mmm (No. 191)
Symmetry-distinct sites (fractional):
Mo 0.0000 0.0000 0.0000 [1 per cell]  6 Pt 2.99
Pt 0.0000 0.5000 0.5000 [3 per cell]  8 Pt 2.59-2.73
Pt 0.3333 0.6667 0.0000 [2 per cell]  9 Pt 2.73-2.99, 3 Mo 2.99

9.
Here is MoPt after structural relaxation from Alexandria via LeMat-Bulk. Energies are from GGA-PBE.

Summary:
D(E_F) (states/eV/atom): 1.1072
Energy relative to the elements (eV/atom): 0.10
Uncorrected energy (eV per formula unit): -16.66

Cell lengths 9.3081, 9.3081, 2.7059 Å; angles 90.00, 90.00, 120.00 degrees
With the nearest neighbours (Å) after each atom.
Space group P6_3/m (No. 176)
Symmetry-distinct sites (fractional):
Mo 0.1481 0.5240 0.2500 [6 per cell]  4 Pt 2.70-2.78, 6 Mo 2.71-2.90
Pt 0.0518 0.7626 0.2500 [6 per cell]  4 Mo 2.70-2.78, 6 Pt 2.71-2.83

10.
Here is MoPt after structural relaxation from Alexandria via LeMat-Bulk. Energies are from GGA-PBE.

Summary:
D(E_F) (states/eV/atom): 1.0303
Energy relative to the elements (eV/atom): 0.55
Uncorrected energy (eV per formula unit): -15.77

Cell lengths 8.2990, 8.2990, 2.6210 Å; angles 90.00, 90.00, 90.00 degrees
With the nearest neighbours (Å) after each atom.
Space group P4_2/mnm (No. 136)
Symmetry-distinct sites (fractional):
Mo 0.1318 0.1318 0.0000 [4 per cell]  4 Pt 2.53-2.67, 2 Mo 2.62
Pt 0.1703 0.8297 0.0000 [4 per cell]  4 Mo 2.53-2.67, 2 Pt 2.62

11.
Here is Mo5Pt3 after structural relaxation from Alexandria via LeMat-Bulk. Energies are from GGA-PBE.

Summary:
D(E_F) (states/eV/atom): 0.6443
Energy relative to the elements (eV/atom): -0.05
Excess energy over the best structure of this formula in the dataset (meV per atom): 164
Uncorrected energy (eV per formula unit): -72.65

Cell lengths 7.8624, 7.8624, 4.8618 Å; angles 90.00, 90.00, 120.00 degrees
With the nearest neighbours (Å) after each atom.
Space group P6_3/mcm (No. 193)
Symmetry-distinct sites (fractional):
Mo 0.0000 0.1997 0.2500 [6 per cell]  6 Mo 2.72-2.89, 4 Pt 2.76-2.92
Mo 0.3333 0.6667 0.0000 [4 per cell]  2 Mo 2.43, 6 Pt 2.68
Pt 0.0000 0.4054 0.7500 [6 per cell]  8 Mo 2.68-2.92, 2 Pt 2.85

12.
Here is MoPt after structural relaxation from Alexandria via LeMat-Bulk. Energies are from GGA-PBE.

Summary:
D(E_F) (states/eV/atom): 1.2105
Energy relative to the elements (eV/atom): -0.19
Uncorrected energy (eV per formula unit): -17.26

Cell lengths 4.0099, 4.0099, 7.7441 Å; angles 90.00, 90.00, 90.00 degrees
With the nearest neighbours (Å) after each atom.
Space group I4_1/amd (No. 141, origin choice 2)
Symmetry-distinct sites (fractional):
Mo 0.0000 0.2500 0.3750 [4 per cell]  4 Mo 2.79, 8 Pt 2.79-2.84
Pt 0.0000 0.2500 0.8750 [4 per cell]  8 Mo 2.79-2.84, 4 Pt 2.79

13.
Here is Mo3Pt5 after structural relaxation from Alexandria via LeMat-Bulk. Energies are from GGA-PBE.

Summary:
D(E_F) (states/eV/atom): 0.8287
Energy relative to the elements (eV/atom): -0.16
Excess energy over the best structure of this formula in the dataset (meV per atom): 68
Uncorrected energy (eV per formula unit): -63.96

Cell lengths 4.8375, 6.9701, 7.8861 Å; angles 87.50, 82.50, 78.81 degrees
With the nearest neighbours (Å) after each atom.
Space group P-1 (No. 2)
Symmetry-distinct sites (fractional):
Mo 0.0996 0.0103 0.1319 [2 per cell]  1 Mo 2.43, 2 Pt 2.61-2.66
Mo 0.2254 0.5560 0.0441 [2 per cell]  2 Mo 2.63-2.64, 7 Pt 2.65-2.94
Mo 0.3868 0.3484 0.4773 [2 per cell]  1 Mo 2.62, 10 Pt 2.62-2.85
Pt 0.0774 0.6271 0.7134 [2 per cell]  6 Mo 2.69-2.85, 6 Pt 2.80-2.98
Pt 0.1475 0.6969 0.3578 [2 per cell]  5 Mo 2.65-2.81, 6 Pt 2.67-2.90
Pt 0.2420 0.9786 0.5745 [2 per cell]  3 Mo 2.62-2.85, 7 Pt 2.67-2.86
Pt 0.3436 0.2288 0.8284 [2 per cell]  6 Pt 2.79-2.98, 7 Mo 2.83-3.08
Pt 0.4905 0.8021 0.8443 [2 per cell]  5 Mo 2.61-2.89, 3 Pt 2.71-2.85

14.
Here is MoPt after structural relaxation from Alexandria via LeMat-Bulk. Energies are from GGA-PBE.

Summary:
D(E_F) (states/eV/atom): 1.0428
Energy relative to the elements (eV/atom): 0.40
Uncorrected energy (eV per formula unit): -16.08

Cell lengths 10.5214, 10.5214, 2.9293 Å; angles 90.00, 90.00, 90.00 degrees
With the nearest neighbours (Å) after each atom.
Space group I4/m (No. 87)
Symmetry-distinct sites (fractional):
Mo 0.1784 0.6919 0.0000 [8 per cell]  2 Mo 2.43, 3 Pt 2.58-2.64
Pt 0.0338 0.1848 0.0000 [8 per cell]  4 Mo 2.58-2.89, 2 Pt 2.79

15.
Here is MoPt after structural relaxation from Alexandria via LeMat-Bulk. Energies are from GGA-PBE.

Summary:
D(E_F) (states/eV/atom): 0.7463
Energy relative to the elements (eV/atom): 1.10
Uncorrected energy (eV per formula unit): -14.68

Cell lengths 7.7654, 7.7654, 7.7654 Å; angles 90.00, 90.00, 90.00 degrees
With the nearest neighbours (Å) after each atom.
Space group I-43m (No. 217)
Symmetry-distinct sites (fractional):
Mo 0.1265 0.1265 0.1265 [8 per cell]  4 Pt 2.45-2.57
Pt 0.1911 0.1911 0.8089 [8 per cell]  4 Mo 2.45-2.57

16.
Here is MoPt after structural relaxation from Alexandria via LeMat-Bulk. Energies are from GGA-PBE.

Summary:
D(E_F) (states/eV/atom): 0.6682
Energy relative to the elements (eV/atom): -0.25
Uncorrected energy (eV per formula unit): -17.37

Cell lengths 10.3150, 2.7548, 4.9445 Å; angles 90.00, 117.89, 90.00 degrees
With the nearest neighbours (Å) after each atom.
Space group C2/m (No. 12)
Symmetry-distinct sites (fractional):
Mo 0.1240 0.0000 0.2837 [4 per cell]  7 Pt 2.74-2.88, 5 Mo 2.75-2.83
Pt 0.1203 0.5000 0.7910 [4 per cell]  7 Mo 2.74-2.88, 5 Pt 2.75-2.86

17.
Here is MoPt after structural relaxation from Alexandria via LeMat-Bulk. Energies are from GGA-PBE.

Summary:
D(E_F) (states/eV/atom): 1.3824
Energy relative to the elements (eV/atom): 1.13
Uncorrected energy (eV per formula unit): -14.61

Cell lengths 6.9941, 6.9941, 6.9941 Å; angles 90.00, 90.00, 90.00 degrees
With the nearest neighbours (Å) after each atom.
Space group Pm-3n (No. 223)
Symmetry-distinct sites (fractional):
Mo 0.0000 0.2500 0.5000 [6 per cell]  4 Pt 2.47
Pt 0.0000 0.5000 0.2500 [6 per cell]  4 Mo 2.47

18.
Here is MoPt after structural relaxation from Alexandria via LeMat-Bulk. Energies are from GGA-PBE.

Summary:
D(E_F) (states/eV/atom): 0.8620
Energy relative to the elements (eV/atom): -0.28
Uncorrected energy (eV per formula unit): -17.44

Cell lengths 2.7289, 2.7289, 4.1482 Å; angles 90.00, 90.00, 90.00 degrees
With the nearest neighbours (Å) after each atom.
Space group P4/mmm (No. 123)
Symmetry-distinct sites (fractional):
Mo 0.0000 0.0000 0.0000 [1 per cell]  4 Mo 2.73, 8 Pt 2.83
Pt 0.5000 0.5000 0.5000 [1 per cell]  4 Pt 2.73, 8 Mo 2.83

19.
Here is MoPt after structural relaxation from Alexandria via LeMat-Bulk. Energies are from GGA-PBE.

Summary:
D(E_F) (states/eV/atom): 0.5390
Energy relative to the elements (eV/atom): -0.01
Uncorrected energy (eV per formula unit): -16.89

Cell lengths 6.3222, 6.3222, 6.3222 Å; angles 90.00, 90.00, 90.00 degrees
With the nearest neighbours (Å) after each atom.
Space group Fd-3m (No. 227, origin choice 2)
Symmetry-distinct sites (fractional):
Mo 0.1250 0.1250 0.1250 [8 per cell]  4 Mo 2.74, 4 Pt 2.74
Pt 0.1250 0.1250 0.6250 [8 per cell]  4 Mo 2.74, 4 Pt 2.74

20.
Here is MoPt after structural relaxation from Alexandria via LeMat-Bulk. Energies are from GGA-PBE.

Summary:
D(E_F) (states/eV/atom): 0.9181
Energy relative to the elements (eV/atom): -0.23
Uncorrected energy (eV per formula unit): -17.34

Cell lengths 4.5081, 5.6652, 9.7271 Å; angles 90.00, 90.00, 90.00 degrees
With the nearest neighbours (Å) after each atom.
Space group Amm2 (No. 38)
Symmetry-distinct sites (fractional):
Mo 0.0000 0.0000 0.0000 [2 per cell]  4 Mo 2.75-2.88, 8 Pt 2.78-2.83
Mo 0.0000 0.2412 0.2450 [4 per cell]  6 Mo 2.73-2.93, 6 Pt 2.75-2.83
Mo 0.5000 0.0000 0.3306 [2 per cell]  4 Mo 2.76, 8 Pt 2.79-2.83
Pt 0.0000 0.0000 0.4995 [2 per cell]  4 Pt 2.78, 8 Mo 2.79-2.83
Pt 0.5000 0.0000 0.8331 [2 per cell]  8 Mo 2.78-2.83, 4 Pt 2.81-2.82
Pt 0.5000 0.2474 0.5832 [4 per cell]  6 Mo 2.75-2.83, 6 Pt 2.78-2.86

21.
Here is Mo5Pt3 after structural relaxation from Alexandria via LeMat-Bulk. Energies are from GGA-PBE.

Summary:
D(E_F) (states/eV/atom): 1.2702
Energy relative to the elements (eV/atom): -0.06
Excess energy over the best structure of this formula in the dataset (meV per atom): 152
Uncorrected energy (eV per formula unit): -72.74

Cell lengths 4.9901, 14.3250, 7.5948 Å; angles 90.00, 109.12, 90.00 degrees
With the nearest neighbours (Å) after each atom.
Space group C2/m (No. 12)
Symmetry-distinct sites (fractional):
Mo 0.0975 0.1737 0.1954 [8 per cell]  6 Pt 2.67-2.86, 3 Mo 2.80-2.93
Mo 0.1732 0.4026 0.3472 [8 per cell]  6 Pt 2.68-2.86, 3 Mo 2.79-2.93
Mo 0.2495 0.0000 0.9995 [4 per cell]  2 Mo 2.49-2.50, 4 Pt 2.70-2.71
Pt 0.0000 0.2498 0.5000 [4 per cell]  2 Pt 2.50, 8 Mo 2.74-2.75
Pt 0.0000 0.3322 0.0000 [4 per cell]  10 Mo 2.67-2.86
Pt 0.1661 0.0000 0.3345 [4 per cell]  10 Mo 2.68-2.86

22.
Here is MoPt after structural relaxation from Alexandria via LeMat-Bulk. Energies are from GGA-PBE.

Summary:
D(E_F) (states/eV/atom): 1.9881
Energy relative to the elements (eV/atom): 0.96
Uncorrected energy (eV per formula unit): -14.96

Cell lengths 5.7049, 5.7049, 5.7049 Å; angles 90.00, 90.00, 90.00 degrees
With the nearest neighbours (Å) after each atom.
Space group F-43m (No. 216)
Symmetry-distinct sites (fractional):
Mo 0.0000 0.0000 0.0000 [4 per cell]  4 Pt 2.47
Pt 0.2500 0.2500 0.2500 [4 per cell]  4 Mo 2.47